No. 1
DFT (PBE) results for an optimized crystal structure of Ac2Al3Zn4Pd.

Cell and atoms, written as extended XYZ:
```
10
Lattice="4.522 0.000 0.000 0.000 4.522 0.000 0.000 0.000 10.406" Properties=species:S:1:pos:R:3 pbc="T T T"
Ac 0.000 2.261 2.575
Ac 2.261 0.000 7.831
Al 0.000 0.000 0.000
Al 0.000 2.261 6.533
Al 2.261 0.000 3.874
Zn 0.000 0.000 5.203
Zn 0.000 2.261 9.112
Zn 2.261 0.000 1.294
Zn 2.261 2.261 5.203
Pd 2.261 2.261 0.000
```

M_tot: 0.000 μB/f.u.
energy of formation: -0.420 eV/atom
SG: P-4m2, No. 115
V: 213 Å³/cell

No. 2
DFT (PBE) results for an optimized crystal structure of AcAl2ZnPd.

Cell and atoms, written as extended XYZ:
```
5
Lattice="-2.279 2.279 5.144 2.279 -2.279 5.144 2.279 2.279 -5.144" Properties=species:S:1:pos:R:3 pbc="T T T"
Ac 0.000 0.000 0.000
Al 0.000 0.000 3.807
Al 0.000 0.000 6.481
Zn 2.279 0.000 2.572
Pd 0.000 2.279 2.572
```

M_tot: 0.000 μB/f.u.
energy of formation: -0.560 eV/atom
SG: I-4m2, No. 119
V: 107 Å³/cell

No. 3
DFT (PBE) results for an optimized crystal structure of Ac2Al4Zn3Pd.

Cell and atoms, written as extended XYZ:
```
10
Lattice="4.448 0.000 0.000 0.000 4.448 0.000 0.000 0.000 10.779" Properties=species:S:1:pos:R:3 pbc="T T T"
Ac 0.000 2.224 2.656
Ac 2.224 0.000 8.123
Al 0.000 0.000 5.389
Al 0.000 2.224 9.482
Al 2.224 0.000 1.296
Al 2.224 2.224 5.389
Zn 0.000 0.000 0.000
Zn 0.000 2.224 6.841
Zn 2.224 0.000 3.938
Pd 2.224 2.224 0.000
```

M_tot: 0.000 μB/f.u.
energy of formation: -0.480 eV/atom
SG: P-4m2, No. 115
V: 213 Å³/cell

No. 4
DFT (PBE) results for an optimized crystal structure of Ac2AlZn3Pd4.

Cell and atoms, written as extended XYZ:
```
10
Lattice="4.428 0.000 0.000 0.000 4.428 0.000 0.000 0.000 10.562" Properties=species:S:1:pos:R:3 pbc="T T T"
Ac 0.000 2.214 2.537
Ac 2.214 0.000 8.024
Al 0.000 0.000 5.281
Zn 0.000 2.214 9.227
Zn 2.214 0.000 1.335
Zn 2.214 2.214 5.281
Pd 0.000 0.000 0.000
Pd 0.000 2.214 6.627
Pd 2.214 0.000 3.935
Pd 2.214 2.214 0.000
```

M_tot: 0.000 μB/f.u.
energy of formation: -0.687 eV/atom
SG: P-4m2, No. 115
V: 207 Å³/cell

No. 5
DFT (PBE) results for an optimized crystal structure of AcPmAl2.

Cell and atoms, written as extended XYZ:
```
4
Lattice="3.848 0.000 0.000 0.000 3.848 0.000 0.000 0.000 7.580" Properties=species:S:1:pos:R:3 pbc="T T T"
Ac 0.000 0.000 0.000
Pm 0.000 0.000 3.790
Al 1.924 1.924 2.101
Al 1.924 1.924 5.478
```

M_tot: 0.000 μB/f.u.
energy of formation: -0.290 eV/atom
SG: P4/mmm, No. 123
V: 112 Å³/cell

No. 6
DFT (PBE) results for an optimized crystal structure of AcPm2Al9.

Cell and atoms, written as extended XYZ:
```
12
Lattice="2.872 1.658 8.864 -2.872 1.658 8.864 0.000 -3.317 8.864" Properties=species:S:1:pos:R:3 pbc="T T T"
Ac 0.000 0.000 0.000
Pm 0.000 0.000 3.761
Pm 0.000 0.000 22.832
Al -1.472 -0.850 11.091
Al 0.000 0.000 8.934
Al 0.000 -1.700 15.502
Al -1.472 0.850 15.502
Al 0.000 0.000 13.296
Al 1.472 -0.850 11.091
Al 0.000 1.700 11.091
Al 0.000 0.000 17.659
Al 1.472 0.850 15.502
```

M_tot: 0.000 μB/f.u.
energy of formation: -0.386 eV/atom
SG: R-3m, No. 166
V: 253 Å³/cell